# Nb3VIn PBE-GGA optimized geometry
# Energy of formation (eV per atom): 2.067
# Uncorrected energy (Ry/atom): -0.466
# Symmetry: Pm-3m
# Excess energy over the best structure of this formula in the dataset (eV/atom): 1.298
data_Nb3VIn
_chemical_formula_sum 'Nb3 V1 In1'
_symmetry_space_group_name_H-M 'P 1'
_symmetry_Int_Tables_number 1
_cell_length_a 5.020
_cell_length_b 5.020
_cell_length_c 5.020
_cell_angle_alpha 90.00
_cell_angle_beta 90.00
_cell_angle_gamma 90.00
loop_
_symmetry_equiv_pos_as_xyz
'x,y,z'
loop_
_atom_site_label
_atom_site_fract_x
_atom_site_fract_y
_atom_site_fract_z
_atom_site_occupancy
Nb1 0.000 0.000 0.500 1
Nb2 0.000 0.500 0.000 1
Nb3 0.500 0.000 0.000 1
V1 0.500 0.500 0.500 1
In1 0.000 0.000 0.000 1

# SiPRh2Br PBE-GGA optimized geometry
# Uncorrected energy (Ry/atom): -0.298
# Formation energy from raw total energies (eV per formula unit): 6.96
# Symmetry: P4/mmm
data_SiPRh2Br
_chemical_formula_sum 'Si1 P1 Rh2 Br1'
_symmetry_space_group_name_H-M 'P 1'
_symmetry_Int_Tables_number 1
_cell_length_a 4.615
_cell_length_b 4.615
_cell_length_c 4.867
_cell_angle_alpha 90.00
_cell_angle_beta 90.00
_cell_angle_gamma 90.00
loop_
_symmetry_equiv_pos_as_xyz
'x,y,z'
loop_
_atom_site_label
_atom_site_fract_x
_atom_site_fract_y
_atom_site_fract_z
_atom_site_occupancy
Si1 0.000 0.000 0.000 1
P1 0.500 0.500 0.000 1
Rh1 0.000 0.500 0.500 1
Rh2 0.500 0.000 0.500 1
Br1 0.000 0.000 0.500 1

# Y8Sb2C3 PBE-GGA optimized geometry
# Uncorrected energy (Ry/atom): -0.531
# Formation energy from raw total energies (eV per formula unit): -6.32
# Symmetry: C2/m
data_Y8Sb2C3
_chemical_formula_sum 'Y8 Sb2 C3'
_symmetry_space_group_name_H-M 'P 1'
_symmetry_Int_Tables_number 1
_cell_length_a 8.367
_cell_length_b 8.367
_cell_length_c 6.424
_cell_angle_alpha 104.92
_cell_angle_beta 104.92
_cell_angle_gamma 51.93
loop_
_symmetry_equiv_pos_as_xyz
'x,y,z'
loop_
_atom_site_label
_atom_site_fract_x
_atom_site_fract_y
_atom_site_fract_z
_atom_site_occupancy
Y1 0.091 0.091 0.397 1
Y2 0.147 0.668 0.111 1
Y3 0.332 0.853 0.889 1
Y4 0.407 0.407 0.587 1
Y5 0.593 0.593 0.413 1
Y6 0.668 0.147 0.111 1
Y7 0.853 0.332 0.889 1
Y8 0.909 0.909 0.603 1
Sb1 0.254 0.254 0.821 1
Sb2 0.746 0.746 0.179 1
C1 0.000 0.000 0.000 1
C2 0.253 0.747 0.500 1
C3 0.747 0.253 0.500 1

# LaPmSm3Dy PBE-GGA optimized geometry
# Energy of formation (eV per atom): 0.188
# Uncorrected energy (Ry/atom): -0.335
# Symmetry: C2/m
data_LaPmSm3Dy
_chemical_formula_sum 'La2 Pm2 Sm6 Dy2'
_symmetry_space_group_name_H-M 'P 1'
_symmetry_Int_Tables_number 1
_cell_length_a 10.649
_cell_length_b 10.649
_cell_length_c 6.943
_cell_angle_alpha 90.66
_cell_angle_beta 90.66
_cell_angle_gamma 31.49
loop_
_symmetry_equiv_pos_as_xyz
'x,y,z'
loop_
_atom_site_label
_atom_site_fract_x
_atom_site_fract_y
_atom_site_fract_z
_atom_site_occupancy
La1 0.145 0.145 0.033 1
La2 0.855 0.855 0.967 1
Pm1 0.145 0.145 0.472 1
Pm2 0.855 0.855 0.528 1
Sm1 0.021 0.021 0.748 1
Sm2 0.280 0.280 0.747 1
Sm3 0.340 0.340 0.256 1
Sm4 0.660 0.660 0.744 1
Sm5 0.720 0.720 0.253 1
Sm6 0.979 0.979 0.252 1
Dy1 0.444 0.444 0.741 1
Dy2 0.556 0.556 0.259 1

# CaRe2Te PBE-GGA optimized geometry
# Uncorrected energy (Ry/atom): -0.484
# Formation energy from raw total energies (eV per formula unit): 3.68
# Symmetry: P4/mmm
data_CaRe2Te
_chemical_formula_sum 'Ca1 Re2 Te1'
_symmetry_space_group_name_H-M 'P 1'
_symmetry_Int_Tables_number 1
_cell_length_a 3.325
_cell_length_b 3.325
_cell_length_c 7.135
_cell_angle_alpha 90.00
_cell_angle_beta 90.00
_cell_angle_gamma 90.00
loop_
_symmetry_equiv_pos_as_xyz
'x,y,z'
loop_
_atom_site_label
_atom_site_fract_x
_atom_site_fract_y
_atom_site_fract_z
_atom_site_occupancy
Ca1 0.000 0.000 0.000 1
Re1 0.500 0.500 0.298 1
Re2 0.500 0.500 0.702 1
Te1 0.000 0.000 0.500 1

# Na4ErTm3S8 PBE-GGA optimized geometry
# Uncorrected energy (Ry/atom): -0.395
# Formation energy from raw total energies (eV per formula unit): -29.69
# Symmetry: R-3m
data_Na4ErTm3S8
_chemical_formula_sum 'Na4 Er1 Tm3 S8'
_symmetry_space_group_name_H-M 'P 1'
_symmetry_Int_Tables_number 1
_cell_length_a 8.073
_cell_length_b 8.073
_cell_length_c 8.073
_cell_angle_alpha 58.35
_cell_angle_beta 58.35
_cell_angle_gamma 58.35
loop_
_symmetry_equiv_pos_as_xyz
'x,y,z'
loop_
_atom_site_label
_atom_site_fract_x
_atom_site_fract_y
_atom_site_fract_z
_atom_site_occupancy
Na1 0.000 0.000 0.000 1
Na2 0.000 0.500 0.500 1
Na3 0.500 0.000 0.500 1
Na4 0.500 0.500 0.000 1
Er1 0.500 0.500 0.500 1
Tm1 0.000 0.000 0.500 1
Tm2 0.000 0.500 0.000 1
Tm3 0.500 0.000 0.000 1
S1 0.240 0.742 0.742 1
S2 0.241 0.241 0.241 1
S3 0.258 0.258 0.760 1
S4 0.258 0.760 0.258 1
S5 0.742 0.240 0.742 1
S6 0.742 0.742 0.240 1
S7 0.759 0.759 0.759 1
S8 0.760 0.258 0.258 1

# TbPuO PBE-GGA optimized geometry
# Uncorrected energy (Ry/atom): -0.700
# Formation energy from raw total energies (eV per formula unit): -4.64
# Symmetry: P3m1
# Excess energy over the best structure of this formula in the dataset (eV/atom): 0.073
data_TbPuO
_chemical_formula_sum 'Tb1 Pu1 O1'
_symmetry_space_group_name_H-M 'P 1'
_symmetry_Int_Tables_number 1
_cell_length_a 3.479
_cell_length_b 3.479
_cell_length_c 6.029
_cell_angle_alpha 90.00
_cell_angle_beta 90.00
_cell_angle_gamma 120.00
loop_
_symmetry_equiv_pos_as_xyz
'x,y,z'
loop_
_atom_site_label
_atom_site_fract_x
_atom_site_fract_y
_atom_site_fract_z
_atom_site_occupancy
Tb1 0.000 0.000 0.000 1
Pu1 0.333 0.667 0.467 1
O1 0.667 0.333 0.231 1

# CdCo2NiH PBE-GGA optimized geometry
# Uncorrected energy (Ry/atom): -0.344
# Symmetry: P4/mmm
data_CdCo2NiH
_chemical_formula_sum 'Cd1 Co2 Ni1 H1'
_symmetry_space_group_name_H-M 'P 1'
_symmetry_Int_Tables_number 1
_cell_length_a 3.722
_cell_length_b 3.722
_cell_length_c 3.894
_cell_angle_alpha 90.00
_cell_angle_beta 90.00
_cell_angle_gamma 90.00
loop_
_symmetry_equiv_pos_as_xyz
'x,y,z'
loop_
_atom_site_label
_atom_site_fract_x
_atom_site_fract_y
_atom_site_fract_z
_atom_site_occupancy
Cd1 0.000 0.000 0.000 1
Co1 0.000 0.500 0.500 1
Co2 0.500 0.000 0.500 1
Ni1 0.500 0.500 0.000 1
H1 0.500 0.500 0.500 1

Going through the records in order, we get Fermi-level density of states values of 9.315, 4.997, 10.340, 16.651, 4.734, 0.000, 6.474, 5.910 states/eV per cell.